(1)
Density functional theory data (PBE) for a relaxed Rb2YTiF crystal.

a = 7.812 Å, b = 7.812 Å, c = 4.245 Å
α = 90.00°, β = 90.00°, γ = 90.00°
Fractional positions:
Rb  0.000  0.500  0.000
Rb  0.500  0.000  0.000
Y  0.000  0.000  0.000
Ti  0.500  0.500  0.500
F  0.000  0.000  0.500

(2)
Density functional theory data (PBE) for a relaxed RbTiZnF6 crystal.

a = 7.508 Å, b = 7.508 Å, c = 7.508 Å
α = 121.52°, β = 118.96°, γ = 89.60°
Fractional positions:
Rb  0.353  0.103  0.250
Rb  0.647  0.897  0.750
Ti  0.000  0.500  0.500
Ti  0.500  0.500  0.000
Zn  0.000  0.000  0.500
Zn  0.000  0.500  0.000
F  0.074  0.824  0.250
F  0.078  0.429  0.260
F  0.078  0.818  0.649
F  0.305  0.555  0.750
F  0.331  0.182  0.760
F  0.331  0.571  0.149
F  0.669  0.429  0.851
F  0.669  0.818  0.240
F  0.695  0.445  0.250
F  0.922  0.182  0.351
F  0.922  0.571  0.740
F  0.926  0.176  0.750

(3)
Density functional theory data (PBE) for a relaxed RbTiZnF2 crystal.

a = 4.886 Å, b = 4.886 Å, c = 5.667 Å
α = 90.00°, β = 90.00°, γ = 90.00°
Fractional positions:
Rb  0.000  0.000  0.000
Ti  0.000  0.000  0.500
Zn  0.500  0.500  0.500
F  0.000  0.500  0.000
F  0.500  0.000  0.000

It is found that the formation energy (no corrections) values, taken in the order of the records, are 4.11 -279.74 -25.19 kJ/mol of atoms.